1.
A plane-wave DFT calculation with PBE-GGA was carried out for a relaxed Ta2RePt crystal.

a b c (Å): 2.791 4.705 5.116
angles (deg): 90.00 96.06 90.00
Space group Pm (No. 6)
Symmetry-distinct sites (fractional):
Ta 0.000 0.000 0.000 [1 per cell]
Ta 0.233 0.500 0.670 [1 per cell]
Re 0.594 0.000 0.510 [1 per cell]
Pt 0.594 0.500 0.175 [1 per cell]

Results
* formation enthalpy at 0 K: -1.255 eV/f.u.
* raw total energy: -10.8622 eV/atom

2.
A plane-wave DFT calculation with PBE-GGA was carried out for a relaxed EuTmSiAu crystal.

a b c (Å): 7.220 7.220 7.220
angles (deg): 90.00 90.00 90.00
Space group F-43m (No. 216)
Symmetry-distinct sites (fractional):
Eu 0.000 0.000 0.000 [4 per cell]
Tm 0.000 0.000 0.500 [4 per cell]
Si 0.250 0.250 0.250 [4 per cell]
Au 0.250 0.250 0.750 [4 per cell]

Results
* ΔE_f (raw): -60.73 kJ per mole of atoms
* raw total energy: -6.4910 eV/atom

3.
A plane-wave DFT calculation with PBE-GGA was carried out for a relaxed CaLa2In crystal.

a b c (Å): 9.368 9.368 6.599
angles (deg): 90.00 90.00 90.00
Space group I-42d (No. 122)
Symmetry-distinct sites (fractional):
Ca 0.000 0.000 0.000 [4 per cell]
La 0.216 0.750 0.625 [8 per cell]
In 0.000 0.000 0.500 [4 per cell]

Results
* formation enthalpy at 0 K: 0.043 eV/f.u.
* raw total energy: -3.6379 eV/atom
* distance to the lowest polymorph of the same formula: 258 meV/atom

4.
A plane-wave DFT calculation with PBE-GGA was carried out for a relaxed ScReSe2N crystal.

a b c (Å): 5.088 5.088 3.736
angles (deg): 90.00 90.00 90.00
Space group P4/mmm (No. 123)
Symmetry-distinct sites (fractional):
Sc 0.000 0.000 0.000 [1 per cell]
Re 0.500 0.500 0.500 [1 per cell]
Se 0.000 0.500 0.500 [2 per cell]
N 0.500 0.500 0.000 [1 per cell]

Results
* ΔE_f (raw): -15.94 kJ per mole of atoms
* raw total energy: -6.9800 eV/atom
* distance to the lowest polymorph of the same formula: 0 meV/atom

| no. | volume (Å³/cell) |
| --- | --- |
| 1 | 66.8 |
| 2 | 376.4 |
| 3 | 579.1 |
| 4 | 96.7 |